Crystalline Tb3ErRu3 at its relaxed geometry. Source: Alexandria via LeMat-Bulk, functional GGA-PBE.

The structure belongs to space group C2/m (No. 12); the cell edges are 9.707, 9.599 and 6.742 Å and the angles 90.00°, 90.06° and 90.00°. The distinct sites, in fractional coordinates, are Tb at (0.000, 0.246, 0.000), Tb at (0.000, 0.252, 0.500), Tb at (0.247, 0.000, 0.001), Er at (0.240, 0.000, 0.501), Ru at (0.000, 0.000, 0.251) and Ru at (0.250, 0.250, 0.251).

The volume comes out at 628.18 Å³ per cell. The value obtained for the offset from the most stable computed form is 23 meV/atom.